1.
A relaxed structure of Li2ScMo, computed with PBE-GGA.

Calculated values
- energy relative to the elements (eV/atom) = 0.5536

abc: 4.3521 4.3521 3.3940
angles: 90.00 90.00 90.00
Positions (direct):
Sc 0.0000 0.5000 0.5000
Li 0.5000 0.5000 0.0000
Li 0.0000 0.0000 0.0000
Mo 0.5000 0.0000 0.5000

---

2.
A relaxed structure of CdCu3H, computed with PBE-GGA.

abc: 4.9240 4.9240 4.9240
angles: 90.00 90.00 90.00
Positions (direct):
H 0.5000 0.5000 0.5000
Cd 0.0000 0.0000 0.0000
Cu 0.0000 0.0000 0.5000
Cu 0.5000 0.0000 0.0000
Cu 0.0000 0.5000 0.0000

---

Across the entries above, energy relative to the lowest polymorph listed for this composition takes the values 327, 1299 meV/atom, respectively.